Material: CoMo2
Method: DFT, GGA-PBE
State: optimized geometry

The structure in POSCAR format:
```
CoMo2
1.0
1.383 4.974 0.063
-1.383 4.974 0.063
0.000 1.776 6.209
Co Mo
2 4
Direct
0.002 0.002 0.007 Co
0.331 0.331 0.332 Co
0.662 0.662 0.672 Mo
0.296 0.296 0.959 Mo
0.935 0.935 0.602 Mo
0.607 0.607 0.262 Mo
```

N(E_F)   3.01 states/eV/f.u.
DFT formation energy   62 kJ/mol of formula units
Symmetry   Cm (8)
Magnetization   0.0 μB/cell
Total energy   -56.3 eV per cell



Material: MgOs2
Method: DFT, GGA-PBE
State: optimized geometry

The structure in POSCAR format:
```
MgOs2
1.0
4.795 -6.346 -0.095
1.180 -6.685 4.147
-4.797 5.173 -3.675
Os Mg
4 2
Direct
0.419 0.419 0.000 Os
0.331 0.831 0.500 Os
0.169 0.669 0.500 Os
0.581 0.581 0.000 Os
0.000 0.000 0.000 Mg
0.750 0.250 0.500 Mg
```

N(E_F)   3.05 states/eV/f.u.
DFT formation energy   197 kJ/mol of formula units
Symmetry   I4_1/amd (141)
Magnetization   0.0 μB/cell
Total energy   -44.0 eV per cell